[1]
First-principles (PBE) data for YPS after structural relaxation, as listed in Alexandria.

Properties
**SG**: No. 62
**Total DFT energy (no corrections)**: -6.897 eV per atom
**Theoretical density**: 4.19 Mg/m³
**Formation energy from raw total energies**: -1.564 eV per atom

a = 5.3394 Å, b = 5.3696 Å, c = 16.8067 Å
α = 90.00°, β = 90.00°, γ = 90.00°
Closest atoms and distances in Å follow each position.
Sites, in units of the cell vectors:
Y 0.2500 0.4840 0.3618  5 S 2.78-2.91, 2 P 3.11
Y 0.2500 0.9840 0.1382  5 S 2.78-2.91, 2 P 3.11
Y 0.7500 0.5160 0.6382  5 S 2.78-2.91, 2 P 3.11
Y 0.7500 0.0160 0.8618  5 S 2.78-2.91, 2 P 3.11
Y 0.2500 0.0141 0.6461  5 S 2.74-2.85, 2 P 2.92
Y 0.2500 0.5141 0.8539  5 S 2.74-2.85, 2 P 2.92
Y 0.7500 0.9859 0.3539  5 S 2.74-2.85, 2 P 2.92
Y 0.7500 0.4859 0.1461  5 S 2.74-2.85, 2 P 2.92
P 0.0375 0.2932 0.9974  2 P 2.26-2.27
P 0.4625 0.7932 0.5026  2 P 2.26-2.27
P 0.5375 0.7068 0.0026  2 P 2.26-2.27
P 0.9625 0.2068 0.4974  2 P 2.26-2.27
P 0.9625 0.7068 0.0026  2 P 2.26-2.27
P 0.5375 0.2068 0.4974  2 P 2.26-2.27
P 0.4625 0.2932 0.9974  2 P 2.26-2.27
P 0.0375 0.7932 0.5026  2 P 2.26-2.27
S 0.2500 0.4850 0.1889  5 Y 2.76-2.91
S 0.2500 0.9850 0.3111  5 Y 2.76-2.91
S 0.7500 0.5150 0.8111  5 Y 2.76-2.91
S 0.7500 0.0150 0.6889  5 Y 2.76-2.91
S 0.2500 0.0110 0.8156  5 Y 2.74-2.85
S 0.2500 0.5110 0.6844  5 Y 2.74-2.85
S 0.7500 0.9890 0.1844  5 Y 2.74-2.85
S 0.7500 0.4890 0.3156  5 Y 2.74-2.85

=====

[2]
First-principles (PBE) data for Y8PS4 after structural relaxation, as listed in Alexandria.

Properties
**SG**: No. 8
**DOS at the Fermi energy**: 0.717 states/eV/atom
**Total DFT energy (no corrections)**: -7.070 eV per atom
**Theoretical density**: 4.43 Mg/m³
**Formation energy from raw total energies**: -1.406 eV per atom

a = 3.8354 Å, b = 9.4070 Å, c = 9.6261 Å
α = 98.66°, β = 78.51°, γ = 78.24°
Closest atoms and distances in Å follow each position.
Sites, in units of the cell vectors:
Y 0.1490 0.3853 0.3166  3 S 2.73-2.78
Y 0.6085 0.1908 0.5922  4 S 2.75-2.90
Y 0.4008 0.8023 0.3962  4 S 2.69-2.81
Y 0.8429 0.6058 0.7083  3 S 2.76-2.89, 1 P 3.01
Y 0.8633 0.3149 0.9585  3 S 2.74-2.76
Y 0.1273 0.9416 0.8038  2 S 2.71, 2 P 2.80
Y 0.1461 0.6558 0.0521  3 S 2.70-2.73, 2 P 2.75
Y 0.8958 0.0333 0.1750  2 S 2.73, 2 P 2.98
P 0.5893 0.8426 0.9788  7 Y 2.75-3.01
S 0.3739 0.4393 0.8130  6 Y 2.70-2.77
S 0.7624 0.8772 0.5979  6 Y 2.69-2.90
S 0.2558 0.1049 0.3834  6 Y 2.73-2.81
S 0.6299 0.5386 0.2017  6 Y 2.73-2.76

=====

[3]
First-principles (PBE) data for YPS after structural relaxation, as listed in Alexandria.

Properties
**SG**: No. 129
**DOS at the Fermi energy**: 0.490 states/eV/atom
**Total DFT energy (no corrections)**: -6.840 eV per atom
**Theoretical density**: 4.32 Mg/m³
**Formation energy from raw total energies**: -1.506 eV per atom

a = 3.7020 Å, b = 3.7020 Å, c = 8.5280 Å
α = 90.00°, β = 90.00°, γ = 90.00°
Closest atoms and distances in Å follow each position.
Sites, in units of the cell vectors:
Y 0.0000 0.5000 0.7208  5 S 2.74-2.95, 4 P 3.02
Y 0.5000 0.0000 0.2792  5 S 2.74-2.95, 4 P 3.02
P 0.0000 0.0000 0.0000  4 P 2.62
P 0.5000 0.5000 0.0000  4 P 2.62
S 0.0000 0.5000 0.3745  5 Y 2.74-2.95
S 0.5000 0.0000 0.6255  5 Y 2.74-2.95

=====

[4]
First-principles (PBE) data for YZnPS after structural relaxation, as listed in Alexandria.

Properties
**SG**: No. 166
**Total DFT energy (no corrections)**: -5.482 eV per atom
**Theoretical density**: 3.85 Mg/m³
**Formation energy from raw total energies**: -1.163 eV per atom

a = 4.0444 Å, b = 4.0444 Å, c = 13.4427 Å
α = 81.35°, β = 81.35°, γ = 60.00°
Closest atoms and distances in Å follow each position.
Sites, in units of the cell vectors:
Y 0.0894 0.0894 0.7317  3 S 2.63
Y 0.9106 0.9106 0.2683  3 S 2.63
Zn 0.6896 0.6896 0.9313  4 P 2.44-2.54
Zn 0.3104 0.3104 0.0687  4 P 2.44-2.54
P 0.6257 0.6257 0.1229  4 Zn 2.44-2.54
P 0.3743 0.3743 0.8771  4 Zn 2.44-2.54
S 0.7867 0.7867 0.6399  3 Y 2.63
S 0.2133 0.2133 0.3601  3 Y 2.63

=====

[5]
First-principles (PBE) data for YZrPS after structural relaxation, as listed in Alexandria.

Properties
**SG**: No. 166
**DOS at the Fermi energy**: 0.731 states/eV/atom
**Total DFT energy (no corrections)**: -7.531 eV per atom
**Theoretical density**: 4.49 Mg/m³
**Formation energy from raw total energies**: -1.394 eV per atom

a = 4.5376 Å, b = 4.5376 Å, c = 10.4285 Å
α = 77.43°, β = 77.43°, γ = 60.00°
Closest atoms and distances in Å follow each position.
Sites, in units of the cell vectors:
Y 0.6139 0.6139 0.1582  4 S 2.65-2.76
Y 0.3861 0.3861 0.8418  4 S 2.65-2.76
Zr 0.7978 0.7978 0.6066  4 P 2.60-2.66, 1 S 2.80
Zr 0.2022 0.2022 0.3934  4 P 2.60-2.66, 1 S 2.80
P 0.1162 0.1162 0.6513  4 Zr 2.60-2.66
P 0.8838 0.8838 0.3487  4 Zr 2.60-2.66
S 0.7052 0.7052 0.8845  4 Y 2.65-2.76, 1 Zr 2.80
S 0.2948 0.2948 0.1155  4 Y 2.65-2.76, 1 Zr 2.80

=====

[6]
First-principles (PBE) data for ZnP2S after structural relaxation, as listed in Alexandria.

Properties
**SG**: No. 225
**Relative energy among the computed polymorphs**: 363.4 meV/atom
**DOS at the Fermi energy**: 0.510 states/eV/atom
**Total DFT energy (no corrections)**: -3.332 eV per atom
**Theoretical density**: 4.30 Mg/m³
**Formation energy from raw total energies**: 0.724 eV per atom

a = 4.4318 Å, b = 4.4318 Å, c = 4.4318 Å
α = 60.00°, β = 60.00°, γ = 60.00°
Closest atoms and distances in Å follow each position.
Sites, in units of the cell vectors:
P 0.2500 0.2500 0.2500  4 S 2.71, 4 Zn 2.71
P 0.7500 0.7500 0.7500  4 S 2.71, 4 Zn 2.71
Zn 0.5000 0.5000 0.5000  8 P 2.71
S 0.0000 0.0000 0.0000  8 P 2.71

=====

[7]
First-principles (PBE) data for ZnP2S2 after structural relaxation, as listed in Alexandria.

Properties
**SG**: No. 123
**Relative energy among the computed polymorphs**: 0.0 meV/atom
**DOS at the Fermi energy**: 1.026 states/eV/atom
**Total DFT energy (no corrections)**: -3.434 eV per atom
**Theoretical density**: 3.44 Mg/m³
**Formation energy from raw total energies**: 0.636 eV per atom

a = 4.4516 Å, b = 4.4516 Å, c = 4.6591 Å
α = 90.00°, β = 90.00°, γ = 90.00°
Closest atoms and distances in Å follow each position.
Sites, in units of the cell vectors:
P 0.0000 0.0000 0.0000  4 S 2.23, 2 P 2.33
P 0.0000 0.0000 0.5000  2 P 2.33
Zn 0.5000 0.5000 0.5000  4 P 3.15, 8 S 3.22
S 0.0000 0.5000 0.0000  2 P 2.23
S 0.5000 0.0000 0.0000  2 P 2.23

=====

[8]
First-principles (PBE) data for ZnP2S after structural relaxation, as listed in Alexandria.

Properties
**SG**: No. 122
**Relative energy among the computed polymorphs**: 0.0 meV/atom
**DOS at the Fermi energy**: 0.120 states/eV/atom
**Total DFT energy (no corrections)**: -3.695 eV per atom
**Theoretical density**: 3.23 Mg/m³
**Formation energy from raw total energies**: 0.360 eV per atom

a = 5.1845 Å, b = 5.1845 Å, c = 7.1102 Å
α = 68.62°, β = 68.62°, γ = 90.00°
Closest atoms and distances in Å follow each position.
Sites, in units of the cell vectors:
P 0.6152 0.1250 0.2500  2 S 2.36, 2 Zn 2.41
P 0.1348 0.6250 0.2500  2 S 2.36, 2 Zn 2.41
P 0.3750 0.3848 0.7500  2 S 2.36, 2 Zn 2.41
P 0.8750 0.8652 0.7500  2 S 2.36, 2 Zn 2.41
Zn 0.0000 0.0000 0.0000  4 P 2.41
Zn 0.7500 0.2500 0.5000  4 P 2.41
S 0.5000 0.5000 0.0000  4 P 2.36
S 0.2500 0.7500 0.5000  4 P 2.36

=====

[9]
First-principles (PBE) data for ZnPS3 after structural relaxation, as listed in Alexandria.

Properties
**SG**: No. 12
**DOS at the Fermi energy**: 0.000 states/eV/atom
**Total DFT energy (no corrections)**: -4.219 eV per atom
**Theoretical density**: 2.83 Mg/m³
**Formation energy from raw total energies**: -0.405 eV per atom

a = 6.0070 Å, b = 6.0070 Å, c = 7.4903 Å
α = 82.39°, β = 82.39°, γ = 120.00°
Closest atoms and distances in Å follow each position.
Sites, in units of the cell vectors:
Zn 0.3330 0.6670 0.0000  6 S 2.58
Zn 0.6670 0.3330 0.0000  6 S 2.58
P 0.9493 0.9493 0.1530  3 S 2.04, 1 P 2.21
P 0.0507 0.0507 0.8470  3 S 2.04, 1 P 2.21
S 0.9260 0.5970 0.2238  1 P 2.04
S 0.4030 0.0740 0.7762  1 P 2.04
S 0.7449 0.7449 0.7764  1 P 2.04
S 0.2551 0.2551 0.2236  1 P 2.04
S 0.0740 0.4030 0.7762  1 P 2.04
S 0.5970 0.9260 0.2238  1 P 2.04

=====

[10]
First-principles (PBE) data for ZnP2S2 after structural relaxation, as listed in Alexandria.

Properties
**SG**: No. 123
**Relative energy among the computed polymorphs**: 498.9 meV/atom
**DOS at the Fermi energy**: 0.980 states/eV/atom
**Total DFT energy (no corrections)**: -2.935 eV per atom
**Theoretical density**: 3.23 Mg/m³
**Formation energy from raw total energies**: 1.135 eV per atom

a = 4.7120 Å, b = 4.7120 Å, c = 4.4288 Å
α = 90.00°, β = 90.00°, γ = 90.00°
Closest atoms and distances in Å follow each position.
Sites, in units of the cell vectors:
P 0.0000 0.5000 0.0000  2 Zn 2.36
P 0.5000 0.0000 0.0000  2 Zn 2.36
Zn 0.0000 0.0000 0.0000  2 S 2.21, 4 P 2.36
S 0.5000 0.5000 0.5000  8 P 3.23, 4 S 3.33
S 0.0000 0.0000 0.5000  2 Zn 2.21

=====

[11]
First-principles (PBE) data for ZnPS4 after structural relaxation, as listed in Alexandria.

Properties
**SG**: No. 2
**DOS at the Fermi energy**: 0.707 states/eV/atom
**Total DFT energy (no corrections)**: -4.101 eV per atom
**Theoretical density**: 2.47 Mg/m³
**Formation energy from raw total energies**: -0.235 eV per atom

a = 4.8782 Å, b = 4.8785 Å, c = 13.1426 Å
α = 100.76°, β = 100.70°, γ = 90.01°
Closest atoms and distances in Å follow each position.
Sites, in units of the cell vectors:
Zn 0.3736 0.6256 0.2495  4 S 2.33-2.34
Zn 0.6264 0.3744 0.7505  4 S 2.33-2.34
P 0.8740 0.1256 0.2497  4 S 2.06
P 0.1260 0.8744 0.7503  4 S 2.06
S 0.2968 0.0459 0.6433  1 P 2.06
S 0.0452 0.8474 0.1425  1 P 2.06
S 0.1521 0.4043 0.3567  1 P 2.06
S 0.4045 0.7039 0.8574  1 P 2.06
S 0.7032 0.9541 0.3567  1 P 2.06
S 0.8479 0.5957 0.6433  1 P 2.06
S 0.9548 0.1526 0.8575  1 P 2.06
S 0.5955 0.2961 0.1426  1 P 2.06

=====

[12]
First-principles (PBE) data for ZnPS3 after structural relaxation, as listed in Alexandria.

Properties
**SG**: No. 221
**DOS at the Fermi energy**: 0.977 states/eV/atom
**Total DFT energy (no corrections)**: -2.898 eV per atom
**Theoretical density**: 3.31 Mg/m³
**Formation energy from raw total energies**: 0.915 eV per atom

a = 4.5863 Å, b = 4.5863 Å, c = 4.5863 Å
α = 90.00°, β = 90.00°, γ = 90.00°
Closest atoms and distances in Å follow each position.
Sites, in units of the cell vectors:
P 0.5000 0.5000 0.5000  12 S 3.24
Zn 0.0000 0.0000 0.0000  6 S 2.29
S 0.0000 0.5000 0.0000  2 Zn 2.29
S 0.0000 0.0000 0.5000  2 Zn 2.29
S 0.5000 0.0000 0.0000  2 Zn 2.29

=====

Listing M_tot for the structures above in their given order: 0.00 0.00 0.00 0.00 0.00 0.00 0.00 0.00 0.00 0.00 0.00 0.00 μB/cell.